Record 1
Computed, not measured: a geometry-optimized LiPr4Tm3S8 structure at the PBE level of DFT.

- ΔE_f (raw) (meV/atom) = -1950
- space-group type = R-3m (166)

abc: 7.850 8.035 7.850
angles: 119.24 120.00 90.00
Fractional coordinates of all 16 atoms:
S 0.760 0.276 0.520
Pr 0.000 0.000 0.500
S 0.256 0.276 0.016
Tm 0.500 0.500 0.500
S 0.742 0.726 0.484
Tm 0.500 0.500 0.000
Tm 0.000 0.500 0.500
Pr 0.500 0.000 0.500
S 0.240 0.724 0.984
S 0.240 0.724 0.480
Pr 0.500 0.000 0.000
S 0.258 0.274 0.516
S 0.760 0.276 0.016
Pr 0.000 0.000 0.000
S 0.744 0.724 0.984
Li 0.000 0.500 0.000

Record 2
Computed, not measured: a geometry-optimized BaAsAu structure at the PBE level of DFT.

- energy of formation (kJ per mole of atoms) = -34.9
- space-group type = P6_3/mmc (194)

abc: 5.493 5.493 6.577
angles: 90.00 90.00 120.00
Fractional coordinates of all 6 atoms:
Au 0.000 0.000 0.500
Ba 0.667 0.333 0.750
Au 0.000 0.000 0.000
As 0.667 0.333 0.250
Ba 0.333 0.667 0.250
As 0.333 0.667 0.750

Record 3
Computed, not measured: a geometry-optimized NbMo3W structure at the PBE level of DFT.

- energy of formation (kJ per mole of atoms) = 84.2
- energy above the most stable polymorph in this dataset (meV/atom) = 936
- space-group type = R-3 (148)

abc: 6.110 6.110 6.110
angles: 66.06 66.06 66.06
Fractional coordinates of all 10 atoms:
W 0.909 0.909 0.909
Nb 0.410 0.410 0.410
Mo 0.508 0.759 0.982
Mo 0.492 0.241 0.018
Mo 0.241 0.018 0.492
Mo 0.018 0.492 0.241
Mo 0.759 0.982 0.508
W 0.091 0.091 0.091
Mo 0.982 0.508 0.759
Nb 0.590 0.590 0.590

Record 4
Computed, not measured: a geometry-optimized Th2RuAu structure at the PBE level of DFT.

- energy of formation (kJ per mole of atoms) = -51.2
- space-group type = P-3m1 (164)

abc: 4.221 4.221 6.975
angles: 90.00 90.00 60.00
Fractional coordinates of all 4 atoms:
Th 0.667 0.667 0.214
Au 0.000 0.000 0.500
Ru 0.000 0.000 0.000
Th 0.333 0.333 0.786

Record 5
Computed, not measured: a geometry-optimized Sm3Pa structure at the PBE level of DFT.

- energy of formation (kJ per mole of atoms) = 25.0
- energy above the most stable polymorph in this dataset (meV/atom) = 30
- space-group type = Pm-3m (221)

abc: 4.991 4.991 4.991
angles: 90.00 90.00 90.00
Fractional coordinates of all 4 atoms:
Sm 0.000 0.500 0.500
Pa 0.000 0.000 0.000
Sm 0.500 0.500 0.000
Sm 0.500 0.000 0.500

Record 6
Computed, not measured: a geometry-optimized K2HfTaAs structure at the PBE level of DFT.

- energy of formation (kJ per mole of atoms) = 127.9
- space-group type = P4/mmm (123)

abc: 5.951 4.976 5.951
angles: 90.00 90.00 90.00
Last column: magnetic moment on the atom in μB.
Fractional coordinates of all 5 atoms:
K 0.000 0.000 0.500  0.02
As 0.000 0.000 0.000  -0.08
Hf 0.500 0.500 0.500  1.11
Ta 0.000 0.500 0.000  1.10
K 0.500 0.000 0.000  0.02

Record 7
Computed, not measured: a geometry-optimized Li2CaZrAg structure at the PBE level of DFT.

- energy of formation (kJ per mole of atoms) = 70.9
- space-group type = P4/mmm (123)

abc: 5.225 5.277 5.225
angles: 90.00 90.00 90.00
Last column: magnetic moment on the atom in μB.
Fractional coordinates of all 5 atoms:
Ca 0.500 0.500 0.500  0.00
Ag 0.000 0.500 0.000  0.04
Li 0.000 0.000 0.500  0.08
Zr 0.000 0.000 0.000  1.21
Li 0.500 0.000 0.000  0.11

Record 8
Computed, not measured: a geometry-optimized NaHf3Se structure at the PBE level of DFT.

- ΔE_f (raw) (meV/atom) = 333
- energy above the most stable polymorph in this dataset (meV/atom) = 0
- space-group type = Pm-3m (221)

abc: 5.021 5.021 5.021
angles: 90.00 90.00 90.00
Fractional coordinates of all 5 atoms:
Hf 0.000 0.500 0.000
Hf 0.500 0.000 0.000
Hf 0.000 0.000 0.500
Se 0.000 0.000 0.000
Na 0.500 0.500 0.500

Record 9
Computed, not measured: a geometry-optimized Cd2InSe structure at the PBE level of DFT.

- ΔE_f (raw) (meV/atom) = -51
- energy above the most stable polymorph in this dataset (meV/atom) = 132
- space-group type = Pmmm (47)

abc: 4.034 5.779 4.374
angles: 90.00 90.00 90.00
Fractional coordinates of all 4 atoms:
In 0.500 0.000 0.500
Cd 0.000 0.000 0.000
Cd 0.500 0.500 0.000
Se 0.000 0.500 0.500

Record 10
Computed, not measured: a geometry-optimized GaB2Rh2 structure at the PBE level of DFT.

- energy of formation (kJ per mole of atoms) = -9.5
- energy above the most stable polymorph in this dataset (meV/atom) = 242
- space-group type = P4/mbm (127)

abc: 5.879 5.879 3.134
angles: 90.00 90.00 90.00
Fractional coordinates of all 10 atoms:
B 0.893 0.607 0.000
Ga 0.000 0.000 0.000
Rh 0.831 0.331 0.500
Rh 0.169 0.669 0.500
Rh 0.669 0.831 0.500
Ga 0.500 0.500 0.000
B 0.393 0.893 0.000
B 0.107 0.393 0.000
B 0.607 0.107 0.000
Rh 0.331 0.169 0.500

Record 11
Computed, not measured: a geometry-optimized V3AsI structure at the PBE level of DFT.

- ΔE_f (raw) (meV/atom) = 1537
- energy above the most stable polymorph in this dataset (meV/atom) = 783
- space-group type = Pm-3m (221)

abc: 4.973 4.973 4.973
angles: 90.00 90.00 90.00
Last column: magnetic moment on the atom in μB.
Fractional coordinates of all 5 atoms:
V 0.500 0.000 0.000  2.54
V 0.000 0.500 0.000  2.54
As 0.500 0.500 0.500  -0.18
V 0.000 0.000 0.500  2.54
I 0.000 0.000 0.000  -0.01

Record 12
Computed, not measured: a geometry-optimized TeOsN2 structure at the PBE level of DFT.

- ΔE_f (raw) (meV/atom) = 798
- space-group type = R-3m (166)

abc: 6.882 6.882 6.882
angles: 26.40 26.40 26.40
Last column: magnetic moment on the atom in μB.
Fractional coordinates of all 4 atoms:
N 0.885 0.885 0.885  0.04
Te 0.000 0.000 0.000  0.01
N 0.115 0.115 0.115  0.04
Os 0.500 0.500 0.500  0.94

Record 13
Computed, not measured: a geometry-optimized Cs4Pa3ReN8 structure at the PBE level of DFT.

- ΔE_f (raw) (meV/atom) = -681
- space-group type = R-3m (166)

abc: 7.045 8.135 7.045
angles: 115.67 120.00 90.00
Last column: magnetic moment on the atom in μB.
Fractional coordinates of all 16 atoms:
N 0.206 0.645 0.412  0.02
Pa 0.500 0.500 0.500  0.11
Cs 0.000 0.000 0.000  0.01
Cs 0.500 0.000 0.000  0.01
N 0.794 0.355 0.061  0.02
Cs 0.500 0.000 0.500  0.01
Re 0.000 0.500 0.000  1.11
N 0.285 0.355 0.570  0.00
Cs 0.000 0.000 0.500  0.01
N 0.715 0.645 0.430  0.00
N 0.266 0.355 0.061  0.02
Pa 0.000 0.500 0.500  0.11
N 0.794 0.355 0.588  0.02
Pa 0.500 0.500 0.000  0.11
N 0.206 0.645 0.939  0.02
N 0.734 0.645 0.939  0.02

Record 14
Computed, not measured: a geometry-optimized Pr6Nd12Cd structure at the PBE level of DFT.

- energy of formation (kJ per mole of atoms) = 9.7
- energy above the most stable polymorph in this dataset (meV/atom) = 17
- space-group type = R-3m (166)

abc: 8.894 8.894 8.894
angles: 97.58 97.58 97.58
Fractional coordinates of all 19 atoms:
Nd 0.740 0.260 0.000
Nd 0.260 0.740 0.000
Nd 0.418 0.829 0.418
Cd 0.000 0.000 0.000
Nd 0.740 0.000 0.260
Nd 0.582 0.171 0.582
Pr 0.407 0.135 0.135
Pr 0.865 0.593 0.865
Nd 0.418 0.418 0.829
Nd 0.171 0.582 0.582
Nd 0.829 0.418 0.418
Pr 0.865 0.865 0.593
Nd 0.260 0.000 0.740
Nd 0.000 0.260 0.740
Nd 0.000 0.740 0.260
Pr 0.593 0.865 0.865
Nd 0.582 0.582 0.171
Pr 0.135 0.407 0.135
Pr 0.135 0.135 0.407

Record 15
Computed, not measured: a geometry-optimized ScAlRh2 structure at the PBE level of DFT.

- energy of formation (kJ per mole of atoms) = -103.7
- space-group type = P4/mmm (123)

abc: 3.226 4.328 4.328
angles: 90.00 90.00 90.00
Fractional coordinates of all 4 atoms:
Rh 0.000 0.500 0.000
Rh 0.000 0.000 0.500
Sc 0.500 0.000 0.000
Al 0.500 0.500 0.500

Record 16
Computed, not measured: a geometry-optimized SiAgSb3 structure at the PBE level of DFT.

- ΔE_f (raw) (meV/atom) = 718
- energy above the most stable polymorph in this dataset (meV/atom) = 0
- space-group type = Pm-3m (221)

abc: 5.221 5.221 5.221
angles: 90.00 90.00 90.00
Fractional coordinates of all 5 atoms:
Si 0.000 0.000 0.000
Sb 0.000 0.500 0.000
Ag 0.500 0.500 0.500
Sb 0.500 0.000 0.000
Sb 0.000 0.000 0.500

Record 17
Computed, not measured: a geometry-optimized Y2CoSnB structure at the PBE level of DFT.

- energy of formation (kJ per mole of atoms) = -34.5
- space-group type = P4/mmm (123)

abc: 5.114 3.878 5.114
angles: 90.00 90.00 90.00
Last column: magnetic moment on the atom in μB.
Fractional coordinates of all 5 atoms:
Co 0.000 0.500 0.000  0.19
Y 0.000 0.000 0.500  0.00
Y 0.500 0.000 0.000  0.00
B 0.000 0.000 0.000  -0.01
Sn 0.500 0.500 0.500  0.01

Record 18
Computed, not measured: a geometry-optimized BaPCl2O structure at the PBE level of DFT.

- ΔE_f (raw) (meV/atom) = 23
- energy above the most stable polymorph in this dataset (meV/atom) = 1058
- space-group type = P4/mmm (123)

abc: 5.908 5.908 7.504
angles: 90.00 90.00 90.00
Last column: magnetic moment on the atom in μB.
Fractional coordinates of all 5 atoms:
Cl 0.000 0.500 0.000  -0.01
P 0.000 0.000 0.500  -1.19
Cl 0.500 0.000 0.000  -0.01
Ba 0.000 0.000 0.000  -0.02
O 0.500 0.500 0.500  1.43

Record 19
Computed, not measured: a geometry-optimized NaTlCd3 structure at the PBE level of DFT.

- energy of formation (kJ per mole of atoms) = -0.3
- energy above the most stable polymorph in this dataset (meV/atom) = 19
- space-group type = Fmm2 (42)

abc: 5.685 5.685 5.720
angles: 106.78 106.78 114.78
Fractional coordinates of all 5 atoms:
Tl 0.758 0.758 0.517
Cd 0.135 0.635 0.270
Cd 0.635 0.135 0.270
Na 0.406 0.406 0.811
Cd 0.063 0.063 0.126

Record 20
Computed, not measured: a geometry-optimized InP structure at the PBE level of DFT.

- energy of formation (kJ per mole of atoms) = -0.2
- space-group type = P4/m (83)

abc: 11.554 11.554 4.283
angles: 90.00 90.00 90.00
Fractional coordinates of all 16 atoms:
In 0.777 0.369 0.500
In 0.114 0.411 0.000
In 0.886 0.589 0.000
P 0.352 0.101 0.000
In 0.411 0.886 0.000
P 0.236 0.399 0.500
In 0.589 0.114 0.000
In 0.631 0.777 0.500
In 0.369 0.223 0.500
P 0.101 0.648 0.000
P 0.399 0.764 0.500
In 0.223 0.631 0.500
P 0.601 0.236 0.500
P 0.899 0.352 0.000
P 0.648 0.899 0.000
P 0.764 0.601 0.500

Record 21
Computed, not measured: a geometry-optimized LiNpHgSb structure at the PBE level of DFT.

- ΔE_f (raw) (meV/atom) = -170
- space-group type = F-43m (216)

abc: 5.157 5.157 5.157
angles: 60.00 60.00 60.00
Last column: magnetic moment on the atom in μB.
Fractional coordinates of all 4 atoms:
Hg 0.750 0.750 0.750  0.06
Li 0.000 0.000 0.000  0.02
Sb 0.250 0.250 0.250  -0.03
Np 0.500 0.500 0.500  4.18

Record 22
Computed, not measured: a geometry-optimized La15Nd2Mg2 structure at the PBE level of DFT.

- energy of formation (kJ per mole of atoms) = 15.7
- space-group type = R-3m (166)

abc: 8.935 8.935 8.935
angles: 79.45 79.45 79.45
Fractional coordinates of all 19 atoms:
La 0.168 0.623 0.623
La 0.623 0.623 0.168
La 0.000 0.705 0.295
La 0.000 0.000 0.500
La 0.377 0.377 0.832
Nd 0.306 0.306 0.306
La 0.705 0.295 0.000
La 0.295 0.000 0.705
La 0.623 0.168 0.623
La 0.705 0.000 0.295
Mg 0.091 0.091 0.091
Nd 0.694 0.694 0.694
La 0.000 0.295 0.705
La 0.832 0.377 0.377
La 0.000 0.500 0.000
La 0.377 0.832 0.377
La 0.295 0.705 0.000
La 0.500 0.000 0.000
Mg 0.909 0.909 0.909

Record 23
Computed, not measured: a geometry-optimized AcLaCoGe structure at the PBE level of DFT.

- energy of formation (kJ per mole of atoms) = -21.2
- energy above the most stable polymorph in this dataset (meV/atom) = 30
- space-group type = F-43m (216)

abc: 5.291 5.291 5.291
angles: 60.00 60.00 60.00
Last column: magnetic moment on the atom in μB.
Fractional coordinates of all 4 atoms:
Ac 0.750 0.750 0.750  -0.10
Co 0.000 0.000 0.000  1.32
La 0.250 0.250 0.250  -0.15
Ge 0.500 0.500 0.500  0.09

Record 24
Computed, not measured: a geometry-optimized SrLiH3 structure at the PBE level of DFT.

- energy above the most stable polymorph in this dataset (meV/atom) = 153
- space-group type = C2/m (12)

abc: 16.014 6.684 6.684
angles: 147.09 153.10 26.90
Fractional coordinates of all 10 atoms:
H 0.576 0.234 0.766
Li 0.859 0.975 0.025
H 0.424 0.766 0.234
H 0.978 0.356 0.644
Li 0.141 0.025 0.975
H 0.770 0.220 0.780
Sr 0.687 0.921 0.079
H 0.022 0.644 0.356
H 0.230 0.780 0.220
Sr 0.313 0.079 0.921